Record 1
Material: SmDyY2Ho5
Method: DFT, GGA-PBE
State: optimized geometry

Lattice parameters (Å, degrees): 5.605 10.249 10.580 90.00 90.00 105.87
Sites, in units of the cell vectors:
Sm: 0.584 0.168 0.955
Sm: 0.416 0.832 0.455
Dy: 0.799 0.597 0.511
Dy: 0.201 0.403 0.011
Y: 0.886 0.773 0.820
Y: 0.110 0.220 0.735
Y: 0.114 0.227 0.320
Y: 0.890 0.780 0.235
Ho: 0.390 0.781 0.022
Ho: 0.717 0.434 0.810
Ho: 0.479 0.958 0.737
Ho: 0.299 0.597 0.708
Ho: 0.981 0.962 0.526
Ho: 0.610 0.219 0.522
Ho: 0.283 0.566 0.310
Ho: 0.521 0.042 0.237
Ho: 0.701 0.403 0.208
Ho: 0.019 0.038 0.026

Formation energy: 0.1553 eV/atom

Record 2
Material: Sm4Dy2Y2Ho
Method: DFT, GGA-PBE
State: optimized geometry

Lattice parameters (Å, degrees): 5.068 8.017 8.017 107.47 90.00 108.43
Sites, in units of the cell vectors:
Sm: 0.778 0.556 0.668
Sm: 0.222 0.444 0.332
Sm: 0.555 0.110 0.331
Sm: 0.445 0.890 0.669
Dy: 0.333 0.667 0.000
Dy: 0.667 0.333 0.000
Y: 0.889 0.777 0.331
Y: 0.111 0.223 0.669
Ho: 0.000 0.000 0.000

Formation energy: 0.0184 eV/atom

Record 3
Material: SmDy3YHo
Method: DFT, GGA-PBE
State: optimized geometry

Lattice parameters (Å, degrees): 5.678 11.173 7.001 89.99 90.01 120.71
Sites, in units of the cell vectors:
Sm: 0.861 0.082 0.251
Sm: 0.139 0.918 0.749
Dy: 0.807 0.582 0.251
Dy: 0.858 0.583 0.749
Dy: 0.196 0.918 0.251
Dy: 0.142 0.417 0.251
Dy: 0.804 0.082 0.749
Dy: 0.193 0.418 0.749
Y: 0.497 0.747 0.001
Y: 0.503 0.253 0.999
Ho: 0.503 0.253 0.501
Ho: 0.497 0.747 0.499

Formation energy: 0.0611 eV/atom

Record 4
Material: Sm5Dy2YHo
Method: DFT, GGA-PBE
State: optimized geometry

Lattice parameters (Å, degrees): 5.640 10.510 10.614 90.00 90.00 105.57
Sites, in units of the cell vectors:
Sm: 0.387 0.773 0.023
Sm: 0.721 0.441 0.811
Sm: 0.481 0.962 0.742
Sm: 0.298 0.597 0.708
Sm: 0.984 0.967 0.519
Sm: 0.613 0.227 0.523
Sm: 0.279 0.559 0.311
Sm: 0.519 0.038 0.242
Sm: 0.702 0.403 0.208
Sm: 0.016 0.033 0.019
Dy: 0.885 0.771 0.814
Dy: 0.112 0.224 0.737
Dy: 0.115 0.229 0.314
Dy: 0.888 0.776 0.237
Y: 0.591 0.181 0.959
Y: 0.409 0.819 0.459
Ho: 0.801 0.602 0.511
Ho: 0.199 0.398 0.011

Formation energy: 0.1518 eV/atom

Record 5
Material: SmDy6Y3Ho2
Method: DFT, GGA-PBE
State: optimized geometry

Lattice parameters (Å, degrees): 6.152 6.152 11.779 94.97 94.97 119.95
Sites, in units of the cell vectors:
Sm: 0.000 0.000 0.000
Dy: 0.916 0.582 0.750
Dy: 0.750 0.750 0.249
Dy: 0.084 0.418 0.250
Dy: 0.582 0.916 0.750
Dy: 0.250 0.250 0.751
Dy: 0.418 0.084 0.250
Y: 0.167 0.833 0.500
Y: 0.833 0.167 0.500
Y: 0.500 0.500 0.500
Ho: 0.333 0.667 0.000
Ho: 0.667 0.333 0.000

Formation energy: 0.0186 eV/atom

Record 6
Material: Sm3DyY6Ho2
Method: DFT, GGA-PBE
State: optimized geometry

Lattice parameters (Å, degrees): 6.193 6.193 11.831 94.99 94.99 119.96
Sites, in units of the cell vectors:
Sm: 0.167 0.833 0.500
Sm: 0.833 0.167 0.500
Sm: 0.500 0.500 0.500
Dy: 0.000 0.000 0.000
Y: 0.917 0.584 0.752
Y: 0.749 0.749 0.248
Y: 0.083 0.416 0.248
Y: 0.584 0.917 0.752
Y: 0.251 0.251 0.752
Y: 0.416 0.083 0.248
Ho: 0.333 0.667 0.000
Ho: 0.667 0.333 0.000

Formation energy: 0.0189 eV/atom

Record 7
Material: SmDy2Y6Ho3
Method: DFT, GGA-PBE
State: optimized geometry

Lattice parameters (Å, degrees): 6.163 6.163 11.796 94.98 94.98 119.94
Sites, in units of the cell vectors:
Sm: 0.000 0.000 0.000
Dy: 0.333 0.667 0.000
Dy: 0.667 0.333 0.000
Y: 0.916 0.582 0.749
Y: 0.750 0.750 0.251
Y: 0.084 0.418 0.251
Y: 0.582 0.916 0.749
Y: 0.250 0.250 0.749
Y: 0.418 0.084 0.251
Ho: 0.167 0.833 0.500
Ho: 0.833 0.167 0.500
Ho: 0.500 0.500 0.500

Formation energy: 0.0211 eV/atom

Record 8
Material: Sm4Dy2YHo2
Method: DFT, GGA-PBE
State: optimized geometry

Lattice parameters (Å, degrees): 5.059 8.012 8.008 107.49 90.00 108.40
Sites, in units of the cell vectors:
Sm: 0.777 0.554 0.667
Sm: 0.223 0.446 0.333
Sm: 0.555 0.110 0.333
Sm: 0.445 0.890 0.667
Dy: 0.889 0.777 0.332
Dy: 0.111 0.223 0.668
Y: 0.000 0.000 0.000
Ho: 0.333 0.665 0.000
Ho: 0.667 0.335 0.000

Formation energy: 0.0188 eV/atom